Entry 1:
Compound: CeLuTlZn
Source: Alexandria
Functional: PBE
Structure: relaxed

Properties
Formation energy: -230.1 meV per atom
SG: No. 216
N(E_F): 9.40 states/eV/f.u.
Spin magnetization: 1.0 μB/f.u.

Geometry as extended XYZ:
```
4
Lattice="5.2496 0.0000 0.0000 2.6248 4.5463 0.0000 2.6248 1.5154 4.2863" Properties=species:S:1:pos:R:3 pbc="T T T"
Ce 2.6248 1.5154 1.0716
Tl 5.2496 3.0308 2.1431
Zn 0.0000 0.0000 0.0000
Lu 7.8744 4.5463 3.2147
```

=====

Entry 2:
Compound: Rb2TbNdS4
Source: Alexandria
Functional: PBE
Structure: relaxed

Properties
Formation energy from raw total energies: -1417.6 kJ/mol of formula units
SG: No. 10
N(E_F): 0.00 states/eV/f.u.
Spin magnetization: 0.0 μB/f.u.

Geometry as extended XYZ:
```
8
Lattice="4.1618 0.0000 0.0000 0.0000 7.2098 0.1244 0.0000 -2.5325 7.6680" Properties=species:S:1:pos:R:3 pbc="T T T"
S 0.0000 4.7353 1.5743
S 0.0000 -0.0579 6.2181
Tb 2.0809 3.6049 0.0622
Rb 2.0809 -1.2662 3.8340
Nd 0.0000 0.0000 0.0000
Rb 0.0000 2.3387 3.8962
S 2.0809 1.2233 1.5341
S 2.0809 3.4541 6.2583
```

=====

Question: Among the records above, which one has the highest N(E_F)?
Answer: CeLuTlZn